Material: HoErMg3
Method: DFT, GGA-PBE
State: relaxed

a b c (Å): 3.3021 30.7783 5.1796
angles (deg): 90.00 90.00 90.00
Closest atoms and distances in Å follow each position.
Space group Cmcm (No. 63)
One atom of each set of equivalent atoms:
Ho  0.0000  0.0743  0.2500 x4  2 Ho 3.30, 12 Mg 3.41-3.47
Er  0.0000  0.2198  0.7500 x4  7 Mg 3.29-3.42, 6 Er 3.30-3.59
Mg  0.0000  0.3266  0.7500 x4  4 Mg 3.02-3.30, 5 Er 3.29-3.39
Mg  0.0000  0.3774  0.2500 x4  5 Mg 3.02-3.30
Mg  0.0000  0.4757  0.2500 x4  5 Mg 2.99-3.30

**Formation energy from the elements**: -48 meV/atom
**DOS at the Fermi energy**: 16.35 states/eV per cell

***

Material: Ac2In6Sn
Method: DFT, GGA-PBE
State: relaxed

a b c (Å): 6.8342 6.8342 6.5201
angles (deg): 90.00 90.00 120.00
Closest atoms and distances in Å follow each position.
Space group P-3m1 (No. 164)
One atom of each set of equivalent atoms:
Ac  0.3333  0.6667  0.3541 x2  12 In 3.61-3.83
In  0.1819  0.3639  0.8355 x6  4 In 3.04-3.10, 1 Sn 3.07
Sn  0.0000  0.0000  0.5000 x1  6 In 3.07

**Formation energy from the elements**: -347 meV/atom
**DOS at the Fermi energy**: 3.76 states/eV per cell

***

Material: HfTi2Cd
Method: DFT, GGA-PBE
State: relaxed

a b c (Å): 3.0501 3.0501 29.4126
angles (deg): 90.00 90.00 120.00
Closest atoms and distances in Å follow each position.
Space group R3m (No. 160, hexagonal axes)
One atom of each set of equivalent atoms:
Hf  0.0000  0.0000  0.0000 x3  6 Ti 2.96-2.97, 6 Hf 3.05
Ti  0.0000  0.0000  0.4144 x3  3 Hf 2.96, 6 Ti 3.05, 3 Cd 3.07
Ti  0.0000  0.0000  0.5854 x3  3 Hf 2.97, 6 Ti 3.05, 3 Cd 3.07
Cd  0.0000  0.0000  0.8334 x3  6 Cd 3.05, 6 Ti 3.07

**Formation energy from the elements**: 78 meV/atom
**DOS at the Fermi energy**: 14.10 states/eV per cell

***

Material: K2TcOsO6
Method: DFT, GGA-PBE
State: relaxed

a b c (Å): 5.5439 5.5439 3.9561
angles (deg): 90.00 90.00 90.00
Closest atoms and distances in Å follow each position.
Space group P4/mmm (No. 123)
One atom of each set of equivalent atoms:
K  0.0000  0.5000  0.0000 x2  12 O 2.77-2.78
Tc  0.0000  0.0000  0.5000 x1  6 O 1.96-1.98
Os  0.5000  0.5000  0.5000 x1  6 O 1.96-1.98
O  0.0000  0.0000  0.0000 x1  2 Tc 1.98
O  0.2505  0.2505  0.5000 x4  1 Os 1.96, 1 Tc 1.96
O  0.5000  0.5000  0.0000 x1  2 Os 1.98

**Uncorrected formation energy**: -1.391 eV/atom
**DOS at the Fermi energy**: 6.10 states/eV per cell